Computed, not measured: an optimized crystal structure of CaInFe2 at the PBE level of DFT.

Its symmetry is I4/mmm (139). For the density of states at the Fermi level, the calculation gives 4.02 states/eV per cell. Its crystal system is tetragonal. For the calculated total energy, the calculation gives -0.184 hartree per atom.

a = 5.0144 Å, b = 5.0144 Å, c = 5.0144 Å
α = 128.74°, β = 128.74°, γ = 75.44°
Last column: nearest neighbours and their distance in Å.
Element x y z (fractional)
1 Ca 0.0000 0.0000 0.0000  8 Fe 2.94, 4 In 3.07
2 In 0.5000 0.5000 0.0000  8 Fe 2.94, 4 Ca 3.07
3 Fe 0.2500 0.7500 0.5000  4 In 2.94, 4 Ca 2.94, 4 Fe 3.07
4 Fe 0.7500 0.2500 0.5000  4 In 2.94, 4 Ca 2.94, 4 Fe 3.07

***

Computed, not measured: an optimized crystal structure of POsN2 at the PBE level of DFT.

Its symmetry is Pm (6). For the density of states at the Fermi level, the calculation gives 1.91 states/eV per cell. Its crystal system is monoclinic. The value obtained for the uncorrected formation energy is 0.41 eV/atom. For the calculated total energy, the calculation gives -0.291 hartree per atom.

a = 3.5139 Å, b = 2.7983 Å, c = 5.3906 Å
α = 90.00°, β = 103.41°, γ = 90.00°
Last column: nearest neighbours and their distance in Å.
Element x y z (fractional)
1 P 0.0000 0.0000 0.0000  2 N 1.83
2 Os 0.5965 0.0000 0.2700  2 N 1.98
3 N 0.7570 0.5000 0.5327  1 N 1.30
4 N 0.9195 0.5000 0.7761  1 N 1.30

***

Computed, not measured: an optimized crystal structure of PuZn4Au at the PBE level of DFT.

Its symmetry is F-43m (216). For the density of states at the Fermi level, the calculation gives 12.64 states/eV per cell. Its crystal system is cubic. For the calculated total energy, the calculation gives -0.143 hartree per atom. The energy relative to the lowest polymorph listed for this composition comes out at 51 meV per atom.

a = 5.3399 Å, b = 5.3399 Å, c = 5.3399 Å
α = 60.00°, β = 60.00°, γ = 60.00°
Last column: nearest neighbours and their distance in Å.
Element x y z (fractional)
1 Pu 0.0000 0.0000 0.0000  12 Zn 3.13, 4 Au 3.27
2 Zn 0.3755 0.3755 0.3755  6 Zn 2.66-2.68
3 Zn 0.3755 0.3755 0.8734  6 Zn 2.66-2.68
4 Zn 0.3755 0.8734 0.3755  6 Zn 2.66-2.68
5 Zn 0.8734 0.3755 0.3755  6 Zn 2.66-2.68
6 Au 0.7500 0.7500 0.7500  12 Zn 3.13, 4 Pu 3.27

***

Computed, not measured: an optimized crystal structure of SmTmTc at the PBE level of DFT.

Its symmetry is Cmce (64). For the density of states at the Fermi level, the calculation gives 13.15 states/eV per cell. Its crystal system is orthorhombic. For the calculated total energy, the calculation gives -0.238 hartree per atom. The energy relative to the lowest polymorph listed for this composition comes out at 61 meV per atom.

a = 7.0569 Å, b = 7.0569 Å, c = 7.5911 Å
α = 90.00°, β = 90.00°, γ = 122.13°
Last column: nearest neighbours and their distance in Å.
Element x y z (fractional)
1 Sm 0.1963 0.8037 0.8867  2 Tc 2.80-2.91
2 Sm 0.3037 0.6963 0.3867  2 Tc 2.80-2.91
3 Sm 0.6963 0.3037 0.6133  2 Tc 2.80-2.91
4 Sm 0.8037 0.1963 0.1133  2 Tc 2.80-2.91
5 Tm 0.2070 0.2930 0.7500  4 Tc 2.86-2.91
6 Tm 0.2930 0.2070 0.2500  4 Tc 2.86-2.91
7 Tm 0.7070 0.7930 0.7500  4 Tc 2.86-2.91
8 Tm 0.7930 0.7070 0.2500  4 Tc 2.86-2.91
9 Tc 0.0976 0.9024 0.5390  1 Tc 2.48
10 Tc 0.4024 0.5976 0.0390  1 Tc 2.48
11 Tc 0.5976 0.4024 0.9610  1 Tc 2.48
12 Tc 0.9024 0.0976 0.4610  1 Tc 2.48